The following is a DFT calculation (PBE-GGA) of a relaxed TaCrReB2 crystal.

Cell: 4.1735 4.1735 4.5103 Å, 90.00 90.00 90.00°
Closest atoms and distances in Å follow each position.
Space group P4/mmm (No. 123)
Unique sites:
Ta  0.0000  0.0000  0.0000 x1  4 B 2.09, 2 Cr 2.26
Cr  0.0000  0.0000  0.5000 x1  2 Ta 2.26
Re  0.5000  0.5000  0.5000 x1  4 Cr 2.95, 8 B 3.07
B  0.0000  0.5000  0.0000 x2  2 Ta 2.09

**Crystal system**: tetragonal
**D(E_F)**: 4.866 states/eV/cell

---

The following is a DFT calculation (PBE-GGA) of a relaxed CrReTcB2 crystal.

Cell: 3.8412 3.8412 4.4048 Å, 90.00 90.00 90.00°
Closest atoms and distances in Å follow each position.
Space group P4/mmm (No. 123)
Unique sites:
Cr  0.0000  0.0000  0.0000 x1  4 B 1.92
Re  0.5000  0.5000  0.5000 x1  4 Tc 2.72, 8 B 2.92
Tc  0.0000  0.0000  0.5000 x1  2 Cr 2.20
B  0.0000  0.5000  0.0000 x2  2 Cr 1.92

**Crystal system**: tetragonal
**D(E_F)**: 6.390 states/eV/cell

---

The following is a DFT calculation (PBE-GGA) of a relaxed CrBRh2 crystal.

Cell: 5.0232 5.0232 9.7315 Å, 90.00 90.00 90.00°
Closest atoms and distances in Å follow each position.
Space group I-42d (No. 122)
Unique sites:
Cr  0.0000  0.0000  0.0000 x4  4 Rh 2.31
B  0.0000  0.0000  0.5000 x4  4 Rh 2.01
Rh  0.1987  0.2500  0.6250 x8  2 B 2.01

**Crystal system**: tetragonal
**D(E_F)**: 15.523 states/eV/cell

---

| no. | electronic total energy (eV/cell) |
| --- | --- |
| 1 | -36.6 |
| 2 | -37.7 |
| 3 | -116.3 |